# 1
Material: ZrV2Fe
Method: DFT, PBE-GGA
State: relaxed

Cell: 2.9541 2.9541 6.8743 Å, 90.00 90.00 90.00°
With the nearest neighbours (Å) after each atom.
Fractional coordinates of all 4 atoms:
1 Fe 0.5000 0.5000 0.0000  8 V 2.50
2 Zr 0.5000 0.5000 0.5000  8 V 2.93, 4 Zr 2.95
3 V 0.0000 0.0000 0.7992  4 Fe 2.50, 1 V 2.76
4 V 0.0000 0.0000 0.2008  4 Fe 2.50, 1 V 2.76

## Properties
DOS(E_F) in states/eV/cell: 4.969
Symmetry: P4/mmm
E_form in eV/atom: 0.068
Offset from the most stable computed form in eV per atom: 0.000



# 2
Material: ZrVFe2
Method: DFT, PBE-GGA
State: relaxed

Cell: 4.2995 4.2995 4.2995 Å, 60.00 60.00 60.00°
With the nearest neighbours (Å) after each atom.
Fractional coordinates of all 4 atoms:
1 Fe 0.2500 0.2500 0.2500  4 Zr 2.63, 4 V 2.63
2 Fe 0.7500 0.7500 0.7500  4 V 2.63, 4 Zr 2.63
3 Zr 0.0000 0.0000 0.0000  8 Fe 2.63
4 V 0.5000 0.5000 0.5000  8 Fe 2.63

## Properties
DOS(E_F) in states/eV/cell: 3.647
Symmetry: Fm-3m
E_form in eV/atom: -0.056
Offset from the most stable computed form in eV per atom: 0.046



# 3
Material: Zr2VFe2
Method: DFT, PBE-GGA
State: relaxed

Cell: 6.0975 6.0975 4.3279 Å, 90.00 90.00 90.00°
With the nearest neighbours (Å) after each atom.
Fractional coordinates of all 10 atoms:
1 Fe 0.3675 0.8675 0.0000  1 Fe 2.28, 2 V 2.38
2 Fe 0.8675 0.6325 0.0000  1 Fe 2.28, 2 V 2.38
3 Fe 0.6325 0.1325 0.0000  1 Fe 2.28, 2 V 2.38
4 Fe 0.1325 0.3675 0.0000  1 Fe 2.28, 2 V 2.38
5 Zr 0.1832 0.6832 0.5000  6 Fe 2.69-2.91
6 Zr 0.6832 0.8168 0.5000  6 Fe 2.69-2.91
7 Zr 0.8168 0.3168 0.5000  6 Fe 2.69-2.91
8 Zr 0.3168 0.1832 0.5000  6 Fe 2.69-2.91
9 V 0.0000 0.0000 0.0000  4 Fe 2.38
10 V 0.5000 0.5000 0.0000  4 Fe 2.38

## Properties
DOS(E_F) in states/eV/cell: 9.283
Symmetry: P4/mbm
E_form in eV/atom: -0.073



# 4
Material: ZrV3Fe
Method: DFT, PBE-GGA
State: relaxed

Cell: 4.3547 4.3547 4.3547 Å, 90.00 90.00 90.00°
With the nearest neighbours (Å) after each atom.
Fractional coordinates of all 5 atoms:
1 Fe 0.0000 0.0000 0.0000  6 V 2.18
2 Zr 0.5000 0.5000 0.5000  12 V 3.08
3 V 0.0000 0.5000 0.0000  2 Fe 2.18
4 V 0.0000 0.0000 0.5000  2 Fe 2.18
5 V 0.5000 0.0000 0.0000  2 Fe 2.18

## Properties
DOS(E_F) in states/eV/cell: 7.101
Symmetry: Pm-3m
E_form in eV/atom: 0.485
Offset from the most stable computed form in eV per atom: 0.000



# 5
Material: Zr3VFe
Method: DFT, PBE-GGA
State: relaxed

Cell: 4.8384 4.8384 4.8384 Å, 90.00 90.00 90.00°
With the nearest neighbours (Å) after each atom.
Fractional coordinates of all 5 atoms:
1 Fe 0.5000 0.5000 0.5000  12 Zr 3.42
2 Zr 0.0000 0.5000 0.0000  2 V 2.42
3 Zr 0.0000 0.0000 0.5000  2 V 2.42
4 Zr 0.5000 0.0000 0.0000  2 V 2.42
5 V 0.0000 0.0000 0.0000  6 Zr 2.42

## Properties
DOS(E_F) in states/eV/cell: 8.500
Symmetry: Pm-3m
E_form in eV/atom: 0.930
Offset from the most stable computed form in eV per atom: 0.421



# 6
Material: Zr2VFe3
Method: DFT, PBE-GGA
State: relaxed

Cell: 5.0662 5.0662 7.9931 Å, 90.00 90.00 120.00°
With the nearest neighbours (Å) after each atom.
Fractional coordinates of all 12 atoms:
1 Zr 0.6667 0.3333 0.4382  9 Fe 2.87-2.95, 3 V 2.97, 4 Zr 3.01-3.09
2 Zr 0.3333 0.6667 0.5618  9 Fe 2.87-2.95, 3 V 2.97, 4 Zr 3.01-3.09
3 Zr 0.3333 0.6667 0.9382  9 Fe 2.87-2.95, 3 V 2.97, 4 Zr 3.01-3.09
4 Zr 0.6667 0.3333 0.0618  9 Fe 2.87-2.95, 3 V 2.97, 4 Zr 3.01-3.09
5 V 0.0000 0.0000 0.5000  6 Fe 2.49
6 V 0.0000 0.0000 0.0000  6 Fe 2.49
7 Fe 0.1702 0.3404 0.2500  4 Fe 2.48-2.59, 2 V 2.49
8 Fe 0.3404 0.1702 0.7500  4 Fe 2.48-2.59, 2 V 2.49
9 Fe 0.8298 0.6596 0.7500  4 Fe 2.48-2.59, 2 V 2.49
10 Fe 0.1702 0.8298 0.2500  4 Fe 2.48-2.59, 2 V 2.49
11 Fe 0.8298 0.1702 0.7500  4 Fe 2.48-2.59, 2 V 2.49
12 Fe 0.6596 0.8298 0.2500  4 Fe 2.48-2.59, 2 V 2.49

## Properties
DOS(E_F) in states/eV/cell: 11.592
Symmetry: P6_3/mmc
E_form in eV/atom: -0.241



# 7
Material: Zr2V2Fe
Method: DFT, PBE-GGA
State: relaxed

Cell: 6.5702 6.5702 4.2175 Å, 90.00 90.00 90.00°
With the nearest neighbours (Å) after each atom.
Fractional coordinates of all 10 atoms:
1 Fe 0.0000 0.0000 0.0000  4 Zr 2.45
2 Fe 0.5000 0.5000 0.0000  4 Zr 2.45
3 Zr 0.3330 0.8330 0.0000  2 Fe 2.45
4 Zr 0.8330 0.6670 0.0000  2 Fe 2.45
5 Zr 0.6670 0.1670 0.0000  2 Fe 2.45
6 Zr 0.1670 0.3330 0.0000  2 Fe 2.45
7 V 0.1320 0.6320 0.5000  1 V 2.45
8 V 0.6320 0.8680 0.5000  1 V 2.45
9 V 0.8680 0.3680 0.5000  1 V 2.45
10 V 0.3680 0.1320 0.5000  1 V 2.45

## Properties
DOS(E_F) in states/eV/cell: 12.354
Symmetry: P4/mbm
E_form in eV/atom: 0.598
Offset from the most stable computed form in eV per atom: 0.482



# 8
Material: ZrV2Fe3
Method: DFT, PBE-GGA
State: relaxed

Cell: 3.6914 5.0703 5.0705 Å, 120.00 90.00 90.00°
With the nearest neighbours (Å) after each atom.
Fractional coordinates of all 6 atoms:
1 Zr 0.0000 0.0012 0.0000  6 V 2.93, 12 Fe 3.14
2 V 0.0000 0.3346 0.6667  6 Fe 2.36
3 V 0.0000 0.6679 0.3333  6 Fe 2.36
4 Fe 0.5000 0.0012 0.5000  4 V 2.36, 4 Fe 2.54
5 Fe 0.5000 0.5013 0.5000  4 V 2.36, 4 Fe 2.54
6 Fe 0.5000 0.5013 0.0000  4 V 2.36, 4 Fe 2.54

## Properties
DOS(E_F) in states/eV/cell: 4.869
Symmetry: P6/mmm
E_form in eV/atom: -0.083